Entry 1:
Re6Ru7 (GGA-PBE, relaxed); density of states at the Fermi level = 11.042 states/eV per cell; calculated total energy = -10.467 eV/atom; DFT formation energy = 0.2730 eV per atom; size of the total moment = 0.000 μB/f.u.
1.0
2.5004 1.4436 8.8508
-2.5004 1.4436 8.8508
0.0000 -2.8873 8.8508
Re Ru
6 7
Direct
0.0469 0.0469 0.0469 Re
0.1482 0.1482 0.1482 Re
0.3380 0.3380 0.3380 Re
0.6620 0.6620 0.6620 Re
0.8518 0.8518 0.8518 Re
0.9531 0.9531 0.9531 Re
0.0826 0.5897 0.5897 Ru
0.4103 0.4103 0.9174 Ru
0.4103 0.9174 0.4103 Ru
0.5000 0.5000 0.5000 Ru
0.5897 0.0826 0.5897 Ru
0.5897 0.5897 0.0826 Ru
0.9174 0.4103 0.4103 Ru

***

Entry 2:
ReRu2 (GGA-PBE, relaxed); excess energy over the best structure of this formula in the dataset = 6 meV/atom; density of states at the Fermi level = 9.282 states/eV per cell; calculated total energy = -10.404 eV/atom; DFT formation energy = -0.0708 eV per atom; size of the total moment = 0.000 μB/f.u.
1.0
2.7505 0.0000 0.0000
0.0000 14.2518 0.0000
0.0000 0.0000 4.3482
Re Ru
4 8
Direct
0.0000 0.1119 0.2500 Re
0.0000 0.8881 0.7500 Re
0.5000 0.3881 0.7500 Re
0.5000 0.6119 0.2500 Re
0.0000 0.2226 0.7500 Ru
0.0000 0.4431 0.2500 Ru
0.0000 0.5569 0.7500 Ru
0.0000 0.7774 0.2500 Ru
0.5000 0.0569 0.7500 Ru
0.5000 0.2774 0.2500 Ru
0.5000 0.7226 0.7500 Ru
0.5000 0.9431 0.2500 Ru

***

Q: DFT formation energy of number 2 (ReRu2)?
A: -0.0708 eV per atom

***

Q: The lowest density of states at the Fermi level belongs to which entry?
A: ReRu2

***

Q: What is the calculated total energy in the first record?
A: -10.467 eV/atom